[1]
Ho2ReOs3 | GGA-PBE | relaxed

Geometry as CIF:
```
data_Ho2ReOs3
_chemical_formula_sum 'Ho4 Re2 Os6'
_cell_length_a 5.434
_cell_length_b 5.434
_cell_length_c 8.507
_cell_angle_alpha 90.00
_cell_angle_beta 90.00
_cell_angle_gamma 120.00
_symmetry_space_group_name_H-M 'P 1'
_symmetry_Int_Tables_number 1
loop_
_symmetry_equiv_pos_as_xyz
'x,y,z'
loop_
_atom_site_label
_atom_site_fract_x
_atom_site_fract_y
_atom_site_fract_z
Ho1 0.333 0.667 0.065
Ho2 0.333 0.667 0.435
Ho3 0.667 0.333 0.565
Ho4 0.667 0.333 0.935
Re1 0.000 0.000 0.000
Re2 0.000 0.000 0.500
Os1 0.173 0.346 0.750
Os2 0.173 0.827 0.750
Os3 0.346 0.173 0.250
Os4 0.654 0.827 0.750
Os5 0.827 0.173 0.250
Os6 0.827 0.654 0.250
```

Calculated values
- Formation enthalpy at 0 K: -30.1 kJ per mole of atoms
- Density of states at the Fermi level: 1.08 states/eV per atom
- Energy: -9.5270 eV/atom


[2]
Li5Tl5Rh2 | GGA-PBE | relaxed

Geometry as CIF:
```
data_Li5Tl5Rh2
_chemical_formula_sum 'Li5 Tl5 Rh2'
_cell_length_a 4.716
_cell_length_b 4.716
_cell_length_c 12.994
_cell_angle_alpha 101.04
_cell_angle_beta 101.04
_cell_angle_gamma 60.18
_symmetry_space_group_name_H-M 'P 1'
_symmetry_Int_Tables_number 1
loop_
_symmetry_equiv_pos_as_xyz
'x,y,z'
loop_
_atom_site_label
_atom_site_fract_x
_atom_site_fract_y
_atom_site_fract_z
Li1 0.000 0.000 0.000
Li2 0.205 0.205 0.621
Li3 0.276 0.276 0.831
Li4 0.724 0.724 0.169
Li5 0.795 0.795 0.379
Tl1 0.097 0.097 0.283
Tl2 0.358 0.358 0.071
Tl3 0.500 0.500 0.500
Tl4 0.642 0.642 0.929
Tl5 0.903 0.903 0.717
Rh1 0.433 0.433 0.291
Rh2 0.567 0.567 0.709
```

Calculated values
- Formation enthalpy at 0 K: -19.4 kJ per mole of atoms
- Density of states at the Fermi level: 0.23 states/eV per atom
- Energy: -3.2099 eV/atom


[3]
Tb3YTm | GGA-PBE | relaxed

Geometry as CIF:
```
data_Tb3YTm
_chemical_formula_sum 'Tb6 Y2 Tm2'
_cell_length_a 6.719
_cell_length_b 6.719
_cell_length_c 8.579
_cell_angle_alpha 106.48
_cell_angle_beta 106.48
_cell_angle_gamma 63.24
_symmetry_space_group_name_H-M 'P 1'
_symmetry_Int_Tables_number 1
loop_
_symmetry_equiv_pos_as_xyz
'x,y,z'
loop_
_atom_site_label
_atom_site_fract_x
_atom_site_fract_y
_atom_site_fract_z
Tb1 0.060 0.060 0.239
Tb2 0.096 0.595 0.380
Tb3 0.405 0.904 0.620
Tb4 0.595 0.096 0.380
Tb5 0.904 0.405 0.620
Tb6 0.940 0.940 0.761
Y1 0.442 0.442 0.769
Y2 0.558 0.558 0.231
Tm1 0.245 0.245 0.000
Tm2 0.755 0.755 0.000
```

Calculated values
- Formation enthalpy at 0 K: 12.0 kJ per mole of atoms
- Energy above the most stable polymorph in this dataset: 117 meV/atom
- Density of states at the Fermi level: 1.81 states/eV per atom
- Energy: -4.8410 eV/atom


[4]
NaDy4 | GGA-PBE | relaxed

Geometry as CIF:
```
data_NaDy4
_chemical_formula_sum 'Na1 Dy4'
_cell_length_a 5.547
_cell_length_b 5.547
_cell_length_c 5.547
_cell_angle_alpha 90.00
_cell_angle_beta 90.00
_cell_angle_gamma 90.00
_symmetry_space_group_name_H-M 'P 1'
_symmetry_Int_Tables_number 1
loop_
_symmetry_equiv_pos_as_xyz
'x,y,z'
loop_
_atom_site_label
_atom_site_fract_x
_atom_site_fract_y
_atom_site_fract_z
Na1 0.000 0.000 0.000
Dy1 0.000 0.000 0.500
Dy2 0.000 0.500 0.000
Dy3 0.500 0.000 0.000
Dy4 0.500 0.500 0.500
```

Calculated values
- Formation enthalpy at 0 K: 76.5 kJ per mole of atoms
- Density of states at the Fermi level: 1.97 states/eV per atom
- Energy: -3.1527 eV/atom


[5]
LaScSb2 | GGA-PBE | relaxed

Geometry as CIF:
```
data_LaScSb2
_chemical_formula_sum 'La1 Sc1 Sb2'
_cell_length_a 10.785
_cell_length_b 10.785
_cell_length_c 10.785
_cell_angle_alpha 18.91
_cell_angle_beta 18.91
_cell_angle_gamma 18.91
_symmetry_space_group_name_H-M 'P 1'
_symmetry_Int_Tables_number 1
loop_
_symmetry_equiv_pos_as_xyz
'x,y,z'
loop_
_atom_site_label
_atom_site_fract_x
_atom_site_fract_y
_atom_site_fract_z
La1 0.000 0.000 0.000
Sc1 0.762 0.762 0.762
Sb1 0.251 0.251 0.251
Sb2 0.499 0.499 0.499
```

Calculated values
- Energy above the most stable polymorph in this dataset: 990 meV/atom
- ΔE_f (raw): -0.10 eV/atom
- Density of states at the Fermi level: 1.43 states/eV per atom
- Energy: -4.9717 eV/atom


[6]
Al2C | GGA-PBE | relaxed

Geometry as CIF:
```
data_Al2C
_chemical_formula_sum 'Al8 C4'
_cell_length_a 6.211
_cell_length_b 6.211
_cell_length_c 8.438
_cell_angle_alpha 90.00
_cell_angle_beta 90.00
_cell_angle_gamma 120.00
_symmetry_space_group_name_H-M 'P 1'
_symmetry_Int_Tables_number 1
loop_
_symmetry_equiv_pos_as_xyz
'x,y,z'
loop_
_atom_site_label
_atom_site_fract_x
_atom_site_fract_y
_atom_site_fract_z
Al1 0.000 0.000 0.000
Al2 0.000 0.000 0.500
Al3 0.145 0.289 0.250
Al4 0.145 0.855 0.250
Al5 0.289 0.145 0.750
Al6 0.711 0.855 0.250
Al7 0.855 0.145 0.750
Al8 0.855 0.711 0.750
C1 0.333 0.667 0.171
C2 0.333 0.667 0.329
C3 0.667 0.333 0.671
C4 0.667 0.333 0.829
```

Calculated values
- Formation enthalpy at 0 K: 95.7 kJ per mole of atoms
- Density of states at the Fermi level: 0.15 states/eV per atom
- Energy: -4.5777 eV/atom


[7]
Pr3Te2 | GGA-PBE | relaxed

Geometry as CIF:
```
data_Pr3Te2
_chemical_formula_sum 'Pr6 Te4'
_cell_length_a 8.488
_cell_length_b 8.488
_cell_length_c 8.488
_cell_angle_alpha 53.93
_cell_angle_beta 53.93
_cell_angle_gamma 53.93
_symmetry_space_group_name_H-M 'P 1'
_symmetry_Int_Tables_number 1
loop_
_symmetry_equiv_pos_as_xyz
'x,y,z'
loop_
_atom_site_label
_atom_site_fract_x
_atom_site_fract_y
_atom_site_fract_z
Pr1 0.080 0.750 0.420
Pr2 0.250 0.580 0.920
Pr3 0.420 0.080 0.750
Pr4 0.580 0.920 0.250
Pr5 0.750 0.420 0.080
Pr6 0.920 0.250 0.580
Te1 0.163 0.163 0.163
Te2 0.337 0.337 0.337
Te3 0.663 0.663 0.663
Te4 0.837 0.837 0.837
```

Calculated values
- Energy above the most stable polymorph in this dataset: 182 meV/atom
- ΔE_f (raw): -0.98 eV/atom
- Density of states at the Fermi level: 1.18 states/eV per atom
- Energy: -5.1000 eV/atom


[8]
Nd4PuS4 | GGA-PBE | relaxed

Geometry as CIF:
```
data_Nd4PuS4
_chemical_formula_sum 'Nd4 Pu1 S4'
_cell_length_a 6.972
_cell_length_b 6.972
_cell_length_c 6.972
_cell_angle_alpha 99.73
_cell_angle_beta 99.73
_cell_angle_gamma 131.45
_symmetry_space_group_name_H-M 'P 1'
_symmetry_Int_Tables_number 1
loop_
_symmetry_equiv_pos_as_xyz
'x,y,z'
loop_
_atom_site_label
_atom_site_fract_x
_atom_site_fract_y
_atom_site_fract_z
Nd1 0.101 0.699 0.800
Nd2 0.301 0.101 0.402
Nd3 0.699 0.899 0.598
Nd4 0.899 0.301 0.200
Pu1 0.500 0.500 0.000
S1 0.203 0.403 0.606
S2 0.403 0.797 0.200
S3 0.597 0.203 0.800
S4 0.797 0.597 0.394
```

Calculated values
- ΔE_f (raw): -1.69 eV/atom
- Density of states at the Fermi level: 1.41 states/eV per atom
- Energy: -7.2351 eV/atom